Version i
PBE AlPBr2, relaxed; symmetry = Cmm2
1.0
3.7078 0.0000 0.0000
0.0000 6.7673 0.0000
0.0000 0.0000 8.8318
Al P Br
2 2 4
Direct
0.0000 0.0000 0.0000
0.5000 0.5000 0.0000
0.0000 0.5000 0.1621
0.5000 0.0000 0.1621
0.0000 0.0000 0.3736
0.0000 0.5000 0.7925
0.5000 0.0000 0.7925
0.5000 0.5000 0.3736

Version ii
PBE AlPBr2, relaxed; symmetry = Imm2
1.0
3.5112 0.0000 0.0000
0.0000 5.1721 0.0000
0.0000 0.0000 13.8018
Al P Br
2 2 4
Direct
0.0000 0.0000 0.0000
0.5000 0.5000 0.5000
0.0000 0.5000 0.3829
0.5000 0.0000 0.8829
0.0000 0.0000 0.4299
0.0000 0.5000 0.6362
0.5000 0.0000 0.1362
0.5000 0.5000 0.9299

Version iii
PBE AlPBr2, relaxed; symmetry = I-42d
1.0
4.6749 0.0000 0.0000
0.0000 4.6749 0.0000
0.0000 0.0000 17.9338
Al P Br
4 4 8
Direct
0.0000 0.0000 0.0000
0.0000 0.5000 0.2500
0.5000 0.0000 0.7500
0.5000 0.5000 0.5000
0.0000 0.0000 0.5000
0.0000 0.5000 0.7500
0.5000 0.0000 0.2500
0.5000 0.5000 0.0000
0.2445 0.2500 0.6250
0.2500 0.7445 0.8750
0.2500 0.7555 0.3750
0.2555 0.2500 0.1250
0.7445 0.7500 0.1250
0.7500 0.2445 0.3750
0.7500 0.2555 0.8750
0.7555 0.7500 0.6250

The most stable arrangement is version ii, and the next structure is 20.2 kJ/mol of atoms less stable.

Version i
PBE AlPbBr2, relaxed; symmetry = Cm
1.0
12.5350 0.0000 0.0000
0.0000 3.6139 0.0000
-1.7728 0.0000 5.7505
Al Pb Br
2 2 4
Direct
0.0000 0.0000 0.0000
0.5000 0.5000 0.0000
0.0916 0.5000 0.3958
0.5916 0.0000 0.3958
0.1912 0.0000 0.9933
0.4164 0.0000 0.6589
0.6912 0.5000 0.9933
0.9164 0.5000 0.6589

Version ii
PBE AlPbBr2, relaxed; symmetry = C2/m
1.0
8.6328 0.0000 0.0000
0.0000 8.5619 0.0000
-0.0148 0.0000 3.5095
Al Pb Br
2 2 4
Direct
0.0000 0.0000 0.0000
0.5000 0.5000 0.0000
0.0000 0.5000 0.0000
0.5000 0.0000 0.0000
0.2500 0.2500 0.0000
0.2500 0.7500 0.0000
0.7500 0.2500 0.0000
0.7500 0.7500 0.0000

Version iii
PBE AlPbBr2, relaxed; symmetry = R-3m
1.0
3.7929 0.0000 0.0000
-1.8964 3.2847 0.0000
0.0000 0.0000 27.5369
Al Pb Br
3 3 6
Direct
0.0000 0.0000 0.0000
0.3333 0.6667 0.6667
0.6667 0.3333 0.3333
0.0000 0.0000 0.5000
0.3333 0.6667 0.1667
0.6667 0.3333 0.8333
0.0000 0.0000 0.2588
0.0000 0.0000 0.7412
0.3333 0.6667 0.4078
0.3333 0.6667 0.9255
0.6667 0.3333 0.0745
0.6667 0.3333 0.5922

The most stable arrangement is version i, and the next structure is 10.1 kJ/mol of atoms less stable.

Version i
PBE AlPbBr2, relaxed; symmetry = Immm
1.0
3.6507 0.0000 0.0000
0.0000 6.0066 0.0000
0.0000 0.0000 9.9141
Al Pb Br
2 2 4
Direct
0.0000 0.0000 0.0000
0.5000 0.5000 0.5000
0.0000 0.0000 0.5000
0.5000 0.5000 0.0000
0.0000 0.5000 0.2907
0.0000 0.5000 0.7093
0.5000 0.0000 0.2093
0.5000 0.0000 0.7907

Version ii
PBE AlPbBr2, relaxed; symmetry = I-42d
1.0
8.3876 0.0000 0.0000
0.0000 8.3876 0.0000
0.0000 0.0000 6.9060
Al Pb Br
4 4 8
Direct
0.0000 0.0000 0.0000
0.0000 0.5000 0.2500
0.5000 0.0000 0.7500
0.5000 0.5000 0.5000
0.0000 0.0000 0.5000
0.0000 0.5000 0.7500
0.5000 0.0000 0.2500
0.5000 0.5000 0.0000
0.2406 0.2500 0.1250
0.2500 0.7406 0.3750
0.2500 0.7594 0.8750
0.2594 0.2500 0.6250
0.7406 0.7500 0.6250
0.7500 0.2406 0.8750
0.7500 0.2594 0.3750
0.7594 0.7500 0.1250

The most stable arrangement is version i, and the next structure is 2.9 kJ/mol of atoms less stable.

Version i
PBE AlPbBr, relaxed; symmetry = F-43m
1.0
7.3498 0.0000 0.0000
0.0000 7.3498 0.0000
0.0000 0.0000 7.3498
Al Pb Br
4 4 4
Direct
0.0000 0.0000 0.0000
0.0000 0.5000 0.5000
0.5000 0.0000 0.5000
0.5000 0.5000 0.0000
0.2500 0.2500 0.7500
0.2500 0.7500 0.2500
0.7500 0.2500 0.2500
0.7500 0.7500 0.7500
0.0000 0.0000 0.5000
0.0000 0.5000 0.0000
0.5000 0.0000 0.0000
0.5000 0.5000 0.5000

Version ii
PBE AlPbBr, relaxed; symmetry = I4mm
1.0
3.4071 0.0000 0.0000
0.0000 3.4071 0.0000
0.0000 0.0000 14.1801
Al Pb Br
2 2 2
Direct
0.0000 0.0000 0.0000
0.5000 0.5000 0.5000
0.0000 0.0000 0.3503
0.5000 0.5000 0.8503
0.0000 0.0000 0.6194
0.5000 0.5000 0.1194

Version iii
PBE AlPbBr, relaxed; symmetry = Fmm2
1.0
3.4917 0.0000 0.0000
0.0000 6.1510 0.0000
0.0000 0.0000 15.6729
Al Pb Br
4 4 4
Direct
0.0000 0.0000 0.0000
0.0000 0.5000 0.5000
0.5000 0.0000 0.5000
0.5000 0.5000 0.0000
0.0000 0.0000 0.3429
0.0000 0.5000 0.8429
0.5000 0.0000 0.8429
0.5000 0.5000 0.3429
0.0000 0.0000 0.6222
0.0000 0.5000 0.1222
0.5000 0.0000 0.1222
0.5000 0.5000 0.6222

Version iv
PBE AlPbBr, relaxed; symmetry = F-43m
1.0
7.1526 0.0000 0.0000
0.0000 7.1526 0.0000
0.0000 0.0000 7.1526
Al Pb Br
4 4 4
Direct
0.0000 0.0000 0.0000
0.0000 0.5000 0.5000
0.5000 0.0000 0.5000
0.5000 0.5000 0.0000
0.2500 0.2500 0.7500
0.2500 0.7500 0.2500
0.7500 0.2500 0.2500
0.7500 0.7500 0.7500
0.2500 0.2500 0.2500
0.2500 0.7500 0.7500
0.7500 0.2500 0.7500
0.7500 0.7500 0.2500

The most stable arrangement is version iii, and the next structure is 7.7 kJ/mol of atoms less stable.

Version i
PBE Al3PbBr, relaxed; symmetry = Pm-3m
1.0
5.2868 0.0000 0.0000
0.0000 5.2868 0.0000
0.0000 0.0000 5.2868
Al Pb Br
3 1 1
Direct
0.0000 0.0000 0.5000
0.0000 0.5000 0.0000
0.5000 0.0000 0.0000
0.5000 0.5000 0.5000
0.0000 0.0000 0.0000

Version ii
PBE Al3PbBr, relaxed; symmetry = Pm-3m
1.0
5.6391 0.0000 0.0000
0.0000 5.6391 0.0000
0.0000 0.0000 5.6391
Al Pb Br
3 1 1
Direct
0.0000 0.0000 0.5000
0.0000 0.5000 0.0000
0.5000 0.0000 0.0000
0.0000 0.0000 0.0000
0.5000 0.5000 0.5000

The most stable arrangement is version ii, and the next structure is 2.1 kJ/mol of atoms less stable.

Version i
PBE Al2PbBr8, relaxed; symmetry = C2/m
1.0
6.8256 -5.0705 0.0000
6.8256 5.0705 0.0000
-1.1131 0.0000 6.6548
Al Pb Br
2 1 8
Direct
0.2000 0.2000 0.1596
0.8000 0.8000 0.8404
0.0000 0.0000 0.5000
0.0724 0.7041 0.7480
0.1945 0.1945 0.8085
0.2959 0.9276 0.2520
0.3625 0.3625 0.3038
0.6375 0.6375 0.6962
0.7041 0.0724 0.7480
0.8055 0.8055 0.1915
0.9276 0.2959 0.2520

Version ii
PBE Al2PbBr8, relaxed; symmetry = C2/c
1.0
9.7532 -4.7276 0.0000
9.7532 4.7276 0.0000
-8.0242 0.0000 9.8715
Al Pb Br
4 2 16
Direct
0.1486 0.6626 0.9569
0.3374 0.8514 0.5431
0.6626 0.1486 0.4569
0.8514 0.3374 0.0431
0.4945 0.5055 0.7500
0.5055 0.4945 0.2500
0.1144 0.1816 0.0362
0.1470 0.6377 0.7602
0.1816 0.1144 0.5362
0.2245 0.6645 0.3523
0.2708 0.3939 0.9621
0.3355 0.7755 0.1477
0.3623 0.8530 0.7398
0.3939 0.2708 0.4621
0.6061 0.7292 0.5379
0.6377 0.1470 0.2602
0.6645 0.2245 0.8523
0.7292 0.6061 0.0379
0.7755 0.3355 0.6477
0.8184 0.8856 0.4638
0.8530 0.3623 0.2398
0.8856 0.8184 0.9638

The most stable arrangement is version ii, and the next structure is 0.6 kJ/mol of atoms less stable.